1.
# BeCrW

A relaxed structure of BeCrW (GGA-PBEsol, Alexandria via LeMat-Bulk).

Cell: 5.9512 5.8042 2.5841 Å, 80.50 74.14 25.36°
With the nearest neighbours (Å) after each atom.
Element x y z (fractional)
Be (0.0000, 0.0000, 0.0000)  2 Cr 2.28, 2 W 2.43
Cr (0.3528, 0.3528, 0.6472)  2 Be 2.28
W (0.6656, 0.6656, 0.3344)  2 Be 2.43, 4 W 2.58, 2 Cr 2.62

Summary:
For the formation energy, the calculation gives 0.233 eV/atom. Its theoretical density is 11.283 g/cm³. As for the energy above the lowest structure with this stoichiometry: 0.00 eV/f.u. The density of states at the Fermi level is 1.6 states/eV/cell.

***

2.
# YBeCr2

A relaxed structure of YBeCr2 (GGA-PBEsol, Alexandria via LeMat-Bulk).

Cell: 7.8348 7.8348 7.8348 Å, 22.38 22.38 22.38°
With the nearest neighbours (Å) after each atom.
Element x y z (fractional)
Y (0.0000, 0.0000, 0.0000)  6 Cr 2.93, 6 Y 3.04
Be (0.5000, 0.5000, 0.5000)  6 Cr 2.30
Cr (0.2312, 0.2312, 0.2312)  3 Be 2.30
Cr (0.7688, 0.7688, 0.7688)  3 Be 2.30

Summary:
For the formation energy, the calculation gives 0.887 eV/atom. Its theoretical density is 5.483 g/cm³. The density of states at the Fermi level is 3.5 states/eV/cell.

***

3.
# YBe2Cr

A relaxed structure of YBe2Cr (GGA-PBEsol, Alexandria via LeMat-Bulk).

Cell: 2.9272 2.9272 6.7821 Å, 90.00 90.00 90.00°
With the nearest neighbours (Å) after each atom.
Element x y z (fractional)
Y (0.0000, 0.0000, 0.0000)  4 Y 2.93, 4 Cr 3.01, 4 Be 3.03
Be (0.0000, 0.0000, 0.4846)  4 Be 2.33, 4 Cr 2.45
Be (0.5000, 0.5000, 0.3257)  4 Be 2.33, 1 Cr 2.39
Cr (0.5000, 0.5000, 0.6777)  5 Be 2.39-2.45

Summary:
For the formation energy, the calculation gives 0.474 eV/atom. Its theoretical density is 4.541 g/cm³. The density of states at the Fermi level is 2.9 states/eV/cell.

***

Magnetic moment for the records above, in order: 0.000, 4.499, 2.753 μB per cell